DFT (PBE) results for a relaxed Ba2Sr3As3 crystal.

Properties
Energy relative to the elements (eV per atom): -1.0255
Uncorrected energy (eV/atom): -3.880
D(E_F) (states/eV/atom): 0.15
Magnetic moment (μB/f.u.): 0.74

abc: 7.7141 9.2180 9.2181
angles: 60.00 90.00 90.00
Positions (direct):
Ba1 0.5000 0.3333 0.3333
Ba2 0.0000 0.3333 0.3333
Ba3 0.0000 0.6667 0.6667
Ba4 0.5000 0.6667 0.6667
As1 0.7500 0.3872 0.0000
As2 0.7500 0.6128 0.3872
As3 0.2500 0.3872 0.6128
As4 0.2500 0.0000 0.3872
As5 0.2500 0.6128 0.0000
As6 0.7500 0.0000 0.6128
Sr1 0.7500 0.7446 0.0000
Sr2 0.2500 0.7446 0.2554
Sr3 0.7500 0.2554 0.7446
Sr4 0.2500 0.0000 0.7446
Sr5 0.7500 0.0000 0.2554
Sr6 0.2500 0.2554 0.0000

---

DFT (PBE) results for a relaxed InGa2CoPb crystal.

Properties
Energy relative to the elements (eV per atom): 0.0585
Uncorrected energy (eV/atom): -3.863
D(E_F) (states/eV/atom): 0.59
Polymorph energy (0 for the lowest one) (eV per atom): 0.018
Magnetic moment (μB/f.u.): 0.00

abc: 4.6572 4.6572 5.1892
angles: 90.00 90.00 90.00
Positions (direct):
Pb1 0.0000 0.0000 0.5000
Ga1 0.0000 0.5000 0.0000
Ga2 0.5000 0.0000 0.0000
Co1 0.0000 0.0000 0.0000
In1 0.5000 0.5000 0.5000

---

DFT (PBE) results for a relaxed TmSi2W crystal.

Properties
Uncorrected energy (eV/atom): -7.310
D(E_F) (states/eV/atom): 0.84
Formation energy without anion corrections (eV per atom): -0.243
Magnetic moment (μB/f.u.): 0.00

abc: 4.1835 4.1835 5.3551
angles: 67.01 67.01 60.00
Positions (direct):
Si1 0.7200 0.7200 0.8401
Si2 0.2800 0.2800 0.1599
Tm1 0.5000 0.5000 0.5000
W1 0.0000 0.0000 0.0000

---

DFT (PBE) results for a relaxed BeAgAu2 crystal.

Properties
Energy relative to the elements (eV per atom): 0.0315
Uncorrected energy (eV/atom): -3.251
D(E_F) (states/eV/atom): 0.33
Magnetic moment (μB/f.u.): 0.00

abc: 7.0173 7.0173 5.6507
angles: 51.62 51.62 90.00
Positions (direct):
Au1 0.8750 0.8105 0.7500
Au2 0.3750 0.4395 0.7500
Au3 0.5605 0.1250 0.2500
Au4 0.1895 0.6250 0.2500
Ag1 0.0000 0.0000 0.0000
Ag2 0.7500 0.2500 0.5000
Be1 0.2500 0.7500 0.5000
Be2 0.5000 0.5000 0.0000

---

DFT (PBE) results for a relaxed MgZnMoIr crystal.

Properties
Energy relative to the elements (eV per atom): -0.0714
Uncorrected energy (eV/atom): -5.712
D(E_F) (states/eV/atom): 0.96
Magnetic moment (μB/f.u.): 0.00

abc: 4.4248 4.4248 4.4248
angles: 60.00 60.00 60.00
Positions (direct):
Ir1 0.2500 0.2500 0.2500
Mg1 0.0000 0.0000 0.0000
Mo1 0.5000 0.5000 0.5000
Zn1 0.7500 0.7500 0.7500

---

DFT (PBE) results for a relaxed CeTh2Ge crystal.

Properties
Energy relative to the elements (eV per atom): -0.2255
Uncorrected energy (eV/atom): -6.573
D(E_F) (states/eV/atom): 1.66
Polymorph energy (0 for the lowest one) (eV per atom): 0.063
Magnetic moment (μB/f.u.): 0.37

abc: 3.8216 3.8216 7.7670
angles: 90.00 90.00 90.00
Positions (direct):
Ce1 0.5000 0.5000 0.5000
Th1 0.0000 0.0000 0.7915
Th2 0.0000 0.0000 0.2085
Ge1 0.5000 0.5000 0.0000

---

- uncorrected energy of number 3 (TmSi2W)?
  -7.310 eV/atom

---

Please write out number 2 again, unchanged.
DFT (PBE) results for a relaxed InGa2CoPb crystal.

Properties
Energy relative to the elements (eV per atom): 0.0585
Uncorrected energy (eV/atom): -3.863
D(E_F) (states/eV/atom): 0.59
Polymorph energy (0 for the lowest one) (eV per atom): 0.018
Magnetic moment (μB/f.u.): 0.00

abc: 4.6572 4.6572 5.1892
angles: 90.00 90.00 90.00
Positions (direct):
Pb1 0.0000 0.0000 0.5000
Ga1 0.0000 0.5000 0.0000
Ga2 0.5000 0.0000 0.0000
Co1 0.0000 0.0000 0.0000
In1 0.5000 0.5000 0.5000

---

Copy entry 3 word for word.
DFT (PBE) results for a relaxed TmSi2W crystal.

Properties
Uncorrected energy (eV/atom): -7.310
D(E_F) (states/eV/atom): 0.84
Formation energy without anion corrections (eV per atom): -0.243
Magnetic moment (μB/f.u.): 0.00

abc: 4.1835 4.1835 5.3551
angles: 67.01 67.01 60.00
Positions (direct):
Si1 0.7200 0.7200 0.8401
Si2 0.2800 0.2800 0.1599
Tm1 0.5000 0.5000 0.5000
W1 0.0000 0.0000 0.0000